<A>
TaMnZn2 | PBE | optimized geometry

abc: 4.381 4.381 4.381
angles: 60.00 60.00 60.00
Fractional positions:
Ta  0.500  0.500  0.500
Zn  0.250  0.250  0.250
Zn  0.750  0.750  0.750
Mn  0.000  0.000  0.000

M_tot: 2.4 μB per cell
V: 14.87 Å³/atom


<B>
TaMnZn2 | PBE | optimized geometry

abc: 2.817 2.817 7.572
angles: 90.00 90.00 90.00
Fractional positions:
Mn  0.500  0.500  0.250
Zn  0.000  0.000  0.018
Zn  0.000  0.000  0.482
Ta  0.500  0.500  0.750

M_tot: 3.2 μB per cell
V: 15.03 Å³/atom


<C>
TaMnZn2 | PBE | optimized geometry

abc: 2.818 2.818 7.557
angles: 90.00 90.00 89.92
Fractional positions:
Mn  0.000  0.000  0.484
Zn  0.500  0.500  0.253
Zn  0.000  0.000  0.015
Ta  0.500  0.500  0.747

M_tot: 3.0 μB per cell
V: 15.00 Å³/atom


Most stable pick: <C>. Distance to second place: 10 meV/atom.


<A>
TaMnZn | PBE | optimized geometry

abc: 6.203 6.203 6.203
angles: 153.98 153.98 37.12
Fractional positions:
Zn  0.659  0.659  0.000
Ta  0.335  0.335  0.000
Mn  0.006  0.006  0.000

M_tot: 3.0 μB per cell
V: 15.28 Å³/atom


<B>
TaMnZn | PBE | optimized geometry

abc: 4.882 4.882 12.552
angles: 78.79 78.79 60.00
Fractional positions:
Zn  0.609  0.609  0.172
Zn  0.391  0.391  0.828
Zn  0.500  0.500  0.000
Zn  0.500  0.500  0.500
Zn  0.500  0.000  0.000
Zn  0.000  0.500  0.000
Ta  0.739  0.739  0.783
Ta  0.045  0.045  0.864
Ta  0.819  0.819  0.542
Ta  0.181  0.181  0.458
Ta  0.261  0.261  0.217
Ta  0.955  0.955  0.136
Mn  0.795  0.271  0.664
Mn  0.271  0.271  0.664
Mn  0.729  0.205  0.336
Mn  0.271  0.795  0.664
Mn  0.729  0.729  0.336
Mn  0.205  0.729  0.336

M_tot: 1.6 μB per cell
V: 14.03 Å³/atom


<C>
TaMnZn | PBE | optimized geometry

abc: 4.137 4.137 4.137
angles: 60.00 60.00 60.00
Fractional positions:
Zn  0.500  0.500  0.500
Ta  0.000  0.000  0.000
Mn  0.750  0.750  0.750

M_tot: 0.1 μB per cell
V: 16.69 Å³/atom


Most stable pick: <B>. Distance to second place: 202 meV/atom.


<A>
TaMnZn | PBE | optimized geometry

abc: 4.215 4.215 4.215
angles: 60.00 60.00 60.00
Fractional positions:
Zn  0.000  0.000  0.000
Ta  0.750  0.750  0.750
Mn  0.500  0.500  0.500

M_tot: 0.0 μB per cell
V: 17.65 Å³/atom


<B>
TaMnZn | PBE | optimized geometry

abc: 4.857 4.857 4.857
angles: 141.84 141.84 55.08
Fractional positions:
Mn  0.992  0.992  0.000
Ta  0.348  0.348  0.000
Zn  0.660  0.660  0.000

M_tot: 0.0 μB per cell
V: 14.48 Å³/atom


Most stable pick: <B>. Distance to second place: 910 meV/atom.